The following is a DFT calculation (SCAN) of Ga2ReMoOs at its PBEsol-relaxed geometry.

As for the total energy: -40.72 eV per atom. The total magnetic moment comes out at 3.769 μB per formula unit. The value obtained for the density of states at the Fermi level is 3.3 states/eV per cell. The calculated formation energy comes out at 1.40 eV per atom.

The structure belongs to space group P4/mmm (No. 123); the cell edges are 4.628, 4.628 and 4.742 Å and the angles 90.00°, 90.00° and 90.00°. The distinct sites, in fractional coordinates, are Ga at (0.000, 0.500, 0.000), Re at (0.000, 0.000, 0.000), Mo at (0.500, 0.500, 0.500) and Os at (0.000, 0.000, 0.500).


The following is a DFT calculation (SCAN) of La3Se4Cl at its PBEsol-relaxed geometry.

The uncorrected formation energy is -2.372 eV/atom. As for the total energy: -29.57 eV per atom. The total magnetic moment comes out at 0.000 μB per formula unit.

The structure belongs to space group Pna2_1 (No. 33); the cell edges are 12.564, 7.888 and 8.479 Å and the angles 90.00°, 90.00° and 90.00°. The distinct sites, in fractional coordinates, are La at (0.011, 0.083, 0.000), La at (0.175, 0.515, 0.747), La at (0.182, 0.527, 0.248), Se at (0.001, 0.467, 0.002), Se at (0.097, 0.164, 0.699), Se at (0.188, 0.825, 0.997), Se at (0.221, 0.798, 0.501) and Cl at (0.104, 0.159, 0.293).


The following is a DFT calculation (SCAN) of BaInCo2 at its PBEsol-relaxed geometry.

As for the total energy: -26.43 eV per atom. The total magnetic moment comes out at 2.725 μB per formula unit. The value obtained for the density of states at the Fermi level is 2.2 states/eV per cell. The calculated formation energy comes out at 0.45 eV per atom.

The structure belongs to space group Pmmm (No. 47); the cell edges are 3.297, 3.609 and 6.924 Å and the angles 90.00°, 90.00° and 90.00°. The distinct sites, in fractional coordinates, are Ba at (0.000, 0.000, 0.000), In at (0.000, 0.000, 0.500) and Co at (0.500, 0.500, 0.340).


The following is a DFT calculation (SCAN) of LaIn2P2 at its PBEsol-relaxed geometry.

As for the total energy: -26.70 eV per atom. The total magnetic moment comes out at 0.000 μB per formula unit. The value obtained for the density of states at the Fermi level is 3.1 states/eV per cell. The calculated formation energy comes out at -0.57 eV per atom.

The structure belongs to space group I4/mmm (No. 139); the cell edges are 4.108, 4.108 and 13.671 Å and the angles 90.00°, 90.00° and 90.00°. The distinct sites, in fractional coordinates, are La at (0.000, 0.000, 0.000), In at (0.000, 0.500, 0.250) and P at (0.000, 0.000, 0.421).